A plane-wave DFT calculation with PBE was carried out for TbYMgAl after structural relaxation.

The total magnetization is 0.05 μB/cell. The total DFT energy (no corrections) comes out at -0.32224 Ry/atom. The theoretical density comes out at 4.957 g cm⁻³.

It has space group F-43m (No. 216), with a = 7.373 Å, b = 7.373 Å, c = 7.373 Å, α = 90.00°, β = 90.00° and γ = 90.00°. The inequivalent atoms are Tb at (0.000, 0.000, 0.000), Y at (0.000, 0.000, 0.500), Mg at (0.250, 0.250, 0.250) and Al at (0.250, 0.250, 0.750).

A plane-wave DFT calculation with PBE was carried out for Th3MgAl4 after structural relaxation.

The total magnetization is 0.02 μB/cell. The total DFT energy (no corrections) comes out at -0.33766 Ry/atom. The theoretical density comes out at 6.033 g cm⁻³.

It has space group I4/mmm (No. 139), with a = 6.159 Å, b = 6.159 Å, c = 12.021 Å, α = 90.00°, β = 90.00° and γ = 90.00°. The inequivalent atoms are Th at (0.000, 0.000, 0.000), Th at (0.000, 0.500, 0.250), Mg at (0.000, 0.000, 0.500), Al at (0.000, 0.000, 0.255) and Al at (0.000, 0.500, 0.000).

A plane-wave DFT calculation with PBE was carried out for Tm3Mg3AlTl2 after structural relaxation.

The total magnetization is 0.00 μB/cell. The total DFT energy (no corrections) comes out at -0.23736 Ry/atom. The theoretical density comes out at 7.720 g cm⁻³.

It has space group P-62m (No. 189), with a = 7.4212 Å, b = 7.4212 Å, c = 4.5793 Å, α = 90.00°, β = 90.00° and γ = 120.00°. The inequivalent atoms are Tm at (0.0000, 0.5702, 0.0000), Mg at (0.0000, 0.2364, 0.5000), Al at (0.0000, 0.0000, 0.0000) and Tl at (0.3333, 0.6667, 0.5000).

A plane-wave DFT calculation with PBE was carried out for TmMgAl after structural relaxation.

The total magnetization is 0.35 μB/cell. The total DFT energy (no corrections) comes out at -0.18714 Ry/atom. The theoretical density comes out at 3.431 g cm⁻³.

It has space group P4/mmm (No. 123), with a = 4.105 Å, b = 4.105 Å, c = 6.326 Å, α = 90.00°, β = 90.00° and γ = 90.00°. The inequivalent atoms are Tm at (0.000, 0.000, 0.000), Mg at (0.000, 0.000, 0.500) and Al at (0.500, 0.500, 0.000).

A plane-wave DFT calculation with PBE was carried out for TmMgAl after structural relaxation.

The total magnetization is 0.02 μB/cell. The total DFT energy (no corrections) comes out at -0.21419 Ry/atom. The theoretical density comes out at 4.691 g cm⁻³.

It has space group P-6m2 (No. 187), with a = 5.3034 Å, b = 5.3034 Å, c = 3.2002 Å, α = 90.00°, β = 90.00° and γ = 120.00°. The inequivalent atoms are Tm at (0.0000, 0.0000, 0.0000), Mg at (0.3333, 0.6667, 0.0000) and Al at (0.6667, 0.3333, 0.0000).

A plane-wave DFT calculation with PBE was carried out for Y2TmMg4Al2 after structural relaxation.

The total magnetization is 0.04 μB/cell. The total DFT energy (no corrections) comes out at -0.27104 Ry/atom. The theoretical density comes out at 3.768 g cm⁻³.

It has space group Amm2 (No. 38), with a = 4.553 Å, b = 12.874 Å, c = 7.488 Å, α = 90.00°, β = 90.00° and γ = 90.00°. The inequivalent atoms are Y at (0.000, 0.218, 0.000), Tm at (0.000, 0.000, 0.656), Mg at (0.000, 0.000, 0.222), Mg at (0.500, 0.000, 0.970), Mg at (0.500, 0.125, 0.344) and Al at (0.500, 0.165, 0.718).